Entry 1:
Here is a geometry-optimized CaBi3H structure from Alexandria. Energies are from PBE-GGA.

POSCAR file:
```
CaBi3H
1.0
5.904 0.000 0.000
0.000 5.904 0.000
0.000 0.000 5.904
Ca Bi H
1 3 1
Direct
0.000 0.000 0.000
0.000 0.000 0.500
0.000 0.500 0.000
0.500 0.000 0.000
0.500 0.500 0.500
```

Computed properties:
Total moment, μB per formula unit: 0.72
Energy relative to the lowest polymorph listed for this composition, kcal/mol of atoms: 22.81
SG: Pm-3m


Entry 2:
Here is a geometry-optimized NdEr4Tl4 structure from Alexandria. Energies are from PBE-GGA.

POSCAR file:
```
NdEr4Tl4
1.0
7.348 0.000 0.000
0.000 7.348 0.000
0.000 0.000 10.370
Nd Er Tl
2 8 8
Direct
0.250 0.750 0.250
0.750 0.250 0.750
0.017 0.250 0.159
0.250 0.017 0.659
0.250 0.483 0.659
0.483 0.250 0.159
0.517 0.750 0.841
0.750 0.517 0.341
0.750 0.983 0.341
0.983 0.750 0.841
0.032 0.250 0.460
0.250 0.032 0.960
0.250 0.468 0.960
0.468 0.250 0.460
0.532 0.750 0.540
0.750 0.532 0.040
0.750 0.968 0.040
0.968 0.750 0.540
```

Computed properties:
Total moment, μB per formula unit: 0.00
ΔH_f (0 K), eV/atom: -0.097
SG: P4_2/nmc


Entry 3:
Here is a geometry-optimized Ga2Ag2F7 structure from Alexandria. Energies are from PBE-GGA.

POSCAR file:
```
Ga2Ag2F7
1.0
3.208 -4.583 0.000
3.208 4.583 0.000
-0.920 0.000 6.186
Ga Ag F
2 2 7
Direct
0.201 0.201 0.389
0.799 0.799 0.611
0.350 0.650 0.000
0.650 0.350 0.000
0.035 0.380 0.248
0.126 0.126 0.669
0.380 0.035 0.248
0.500 0.500 0.500
0.620 0.965 0.752
0.874 0.874 0.331
0.965 0.620 0.752
```

Computed properties:
Total moment, μB per formula unit: 0.00
SG: C2/m
Formation energy from raw total energies, eV/atom: -1.893


Entry 4:
Here is a geometry-optimized MgNbW2I structure from Alexandria. Energies are from PBE-GGA.

POSCAR file:
```
MgNbW2I
1.0
4.895 0.000 0.000
0.000 4.895 0.000
0.000 0.000 5.551
Mg Nb W I
1 1 2 1
Direct
0.000 0.000 0.000
0.500 0.500 0.500
0.000 0.500 0.500
0.500 0.000 0.500
0.500 0.500 0.000
```

Computed properties:
Total moment, μB per formula unit: 2.85
SG: P4/mmm
Formation energy from raw total energies, eV/atom: 1.901


Entry 5:
Here is a geometry-optimized Fe2RePt structure from Alexandria. Energies are from PBE-GGA.

POSCAR file:
```
Fe2RePt
1.0
2.680 0.000 0.000
0.000 2.680 0.000
0.000 0.000 7.503
Fe Re Pt
2 1 1
Direct
0.000 0.000 0.245
0.000 0.000 0.755
0.500 0.500 0.000
0.500 0.500 0.500
```

Computed properties:
Total moment, μB per formula unit: 4.27
ΔH_f (0 K), eV/atom: -0.027
SG: P4/mmm


Entry 6:
Here is a geometry-optimized Ho3Zn8Ru structure from Alexandria. Energies are from PBE-GGA.

POSCAR file:
```
Ho3Zn8Ru
1.0
2.626 1.516 8.821
-2.626 1.516 8.821
0.000 -3.033 8.821
Ho Zn Ru
3 8 1
Direct
0.000 0.000 0.000
0.126 0.126 0.126
0.518 0.518 0.518
0.058 0.567 0.567
0.072 0.072 0.569
0.072 0.569 0.072
0.316 0.316 0.316
0.567 0.058 0.567
0.567 0.567 0.058
0.569 0.072 0.072
0.819 0.819 0.819
0.624 0.624 0.624
```

Computed properties:
Total moment, μB per formula unit: 0.00
ΔH_f (0 K), eV/atom: -0.285
SG: R3m


Entry 7:
Here is a geometry-optimized ScOs2Br structure from Alexandria. Energies are from PBE-GGA.

POSCAR file:
```
ScOs2Br
1.0
-1.967 1.967 4.302
1.967 -1.967 4.302
1.967 1.967 -4.302
Sc Os Br
1 2 1
Direct
0.000 0.000 0.000
0.500 0.500 0.000
0.750 0.250 0.500
0.250 0.750 0.500
```

Computed properties:
Total moment, μB per formula unit: 0.00
Energy relative to the lowest polymorph listed for this composition, kcal/mol of atoms: 18.77
SG: I-4m2
Formation energy from raw total energies, eV/atom: 0.773


Entry 8:
Here is a geometry-optimized SmHoGe structure from Alexandria. Energies are from PBE-GGA.

POSCAR file:
```
SmHoGe
1.0
2.149 -5.937 0.000
2.149 5.937 0.000
0.000 0.000 6.308
Sm Ho Ge
2 2 2
Direct
0.000 0.000 0.000
0.000 0.000 0.500
0.292 0.708 0.750
0.708 0.292 0.250
0.372 0.628 0.250
0.628 0.372 0.750
```

Computed properties:
Total moment, μB per formula unit: 0.00
ΔH_f (0 K), eV/atom: -0.591
Energy relative to the lowest polymorph listed for this composition, kcal/mol of atoms: 0.31
SG: Cmcm


Number 3 is which compound? Ga2Ag2F7